No. 1
A plane-wave DFT calculation with PBE was carried out for a geometry-optimized Al2H5Pd12 structure.

Structure (POSCAR):
```
Al2H5Pd12
1.0
5.669 0.000 0.000
-2.835 5.182 0.399
0.000 -1.402 8.052
Pd Al H
12 2 5
Direct
0.038 0.562 0.826 Pd
0.623 0.749 0.509 Pd
0.524 0.562 0.826 Pd
0.377 0.251 0.491 Pd
0.029 0.058 0.761 Pd
0.962 0.438 0.174 Pd
0.874 0.251 0.491 Pd
0.126 0.749 0.509 Pd
0.476 0.438 0.174 Pd
0.971 0.942 0.239 Pd
0.471 0.942 0.240 Pd
0.529 0.058 0.760 Pd
0.247 0.000 0.000 Al
0.753 0.000 0.000 Al
0.737 0.474 0.495 H
0.000 0.000 0.500 H
0.306 0.612 0.133 H
0.694 0.388 0.867 H
0.263 0.526 0.505 H
```

Properties
Its space group is C2/m (12). For the total energy, the calculation gives -4.7255 eV/atom. Its size of the total moment is 0.0 μB/cell. As for the density of states at the Fermi level: 7.6 states/eV per cell.

No. 2
A plane-wave DFT calculation with PBE was carried out for a geometry-optimized PrSc4Bi5 structure.

Structure (POSCAR):
```
PrSc4Bi5
1.0
-1.072 -0.905 -4.104
-3.381 -4.811 1.944
-6.448 9.296 1.927
Sc Pr Bi
4 1 5
Direct
0.205 0.205 0.411 Sc
0.795 0.795 0.589 Sc
0.400 0.400 0.800 Sc
0.600 0.600 0.200 Sc
0.000 0.000 0.000 Pr
0.390 0.890 0.780 Bi
0.000 0.500 0.000 Bi
0.610 0.110 0.220 Bi
0.198 0.698 0.396 Bi
0.802 0.302 0.604 Bi
```

Properties
Its space group is Immm (71). Its formation energy is -6.932 eV/f.u. Its size of the total moment is 0.0 μB/cell. As for the density of states at the Fermi level: 1.9 states/eV per cell.

No. 3
A plane-wave DFT calculation with PBE was carried out for a geometry-optimized Cs2RbBeCl6 structure.

Structure (POSCAR):
```
Cs2RbBeCl6
1.0
-2.414 5.021 -5.316
3.442 -4.159 -5.491
-4.051 -2.468 -6.069
Cs Cl Rb Be
2 6 1 1
Direct
0.750 0.250 0.500 Cs
0.250 0.750 0.500 Cs
0.291 0.709 0.000 Cl
0.709 0.291 0.000 Cl
0.291 0.291 0.000 Cl
0.709 0.709 0.000 Cl
0.290 0.290 0.419 Cl
0.710 0.710 0.581 Cl
0.000 0.000 0.000 Rb
0.500 0.500 0.000 Be
```

Properties
Its space group is Fm-3m (225). As for the uncorrected formation energy: -33.25 kcal/mol of atoms. Its size of the total moment is 1.0 μB/cell. As for the density of states at the Fermi level: 13.0 states/eV per cell.

No. 4
A plane-wave DFT calculation with PBE was carried out for a geometry-optimized Li9CaAu2 structure.

Structure (POSCAR):
```
Li9CaAu2
1.0
2.237 -3.893 5.810
6.065 -6.067 -1.760
6.852 3.389 4.272
Li Au Ca
18 4 2
Direct
0.732 0.578 0.821 Li
0.018 0.922 0.679 Li
0.304 0.078 0.679 Li
0.000 0.000 0.000 Li
0.132 0.422 0.179 Li
0.446 0.422 0.821 Li
0.690 0.578 0.179 Li
0.618 0.078 0.321 Li
0.732 0.821 0.578 Li
0.132 0.179 0.422 Li
0.618 0.321 0.078 Li
0.690 0.179 0.578 Li
0.446 0.821 0.422 Li
0.060 0.321 0.922 Li
0.018 0.679 0.922 Li
0.750 0.500 0.500 Li
0.060 0.922 0.321 Li
0.304 0.679 0.078 Li
0.375 0.750 0.750 Au
0.875 0.750 0.250 Au
0.875 0.250 0.250 Au
0.875 0.250 0.750 Au
0.500 0.000 0.000 Ca
0.250 0.500 0.500 Ca
```

Properties
Its space group is I4_1/amd (141). Its formation energy is -3.073 eV/f.u. Its size of the total moment is 0.0 μB/cell. As for the density of states at the Fermi level: 11.7 states/eV per cell.

Q: The highest size of the total moment belongs to which entry?
A: Cs2RbBeCl6

Please write out number 3 again, unchanged.
A plane-wave DFT calculation with PBE was carried out for a geometry-optimized Cs2RbBeCl6 structure.

Structure (POSCAR):
```
Cs2RbBeCl6
1.0
-2.414 5.021 -5.316
3.442 -4.159 -5.491
-4.051 -2.468 -6.069
Cs Cl Rb Be
2 6 1 1
Direct
0.750 0.250 0.500 Cs
0.250 0.750 0.500 Cs
0.291 0.709 0.000 Cl
0.709 0.291 0.000 Cl
0.291 0.291 0.000 Cl
0.709 0.709 0.000 Cl
0.290 0.290 0.419 Cl
0.710 0.710 0.581 Cl
0.000 0.000 0.000 Rb
0.500 0.500 0.000 Be
```

Properties
Its space group is Fm-3m (225). As for the uncorrected formation energy: -33.25 kcal/mol of atoms. Its size of the total moment is 1.0 μB/cell. As for the density of states at the Fermi level: 13.0 states/eV per cell.

Q: Which formula does entry 1 have?
A: Al2H5Pd12